Compound: EuDy2Ho
Source: Alexandria
Functional: PBE-GGA
Structure: optimized geometry

Offset from the most stable computed form = 0 meV/atom
Electronic total energy = -23.82 eV per formula unit
Total moment = 7.6 μB per formula unit
Density of states at the Fermi level = 5.76 states/eV per cell
Crystal system = trigonal
ΔE_f = 0.06 eV/atom

abc: 3.595 3.595 12.022
angles: 81.40 81.40 60.00
Site moments in Bohr magnetons follow the coordinates.
Sites, in units of the cell vectors:
Eu 0.500 0.500 0.500  7.00
Ho 0.000 0.000 0.000  -0.02
Dy 0.746 0.746 0.762  0.07
Dy 0.254 0.254 0.238  0.07